No. 1
Compound: Pm4PrNd4
Source: Alexandria via LeMat-Bulk
Functional: GGA-PBE
Structure: optimized geometry

Summary:
M_tot	0.000	μB per atom
uncorrected energy	-42.7	eV per formula unit
formation energy from the elements	0.3	kcal/mol of atoms

```
Pm4PrNd4
1.0
-5.508 5.508 2.598
5.508 -5.508 2.598
5.508 5.508 -2.598
Pm Pr Nd
4 1 4
direct
0.000 0.334 0.334
0.000 0.666 0.666
0.334 0.000 0.334
0.666 0.000 0.666
0.000 0.000 0.000
0.333 0.333 0.666
0.333 0.667 0.000
0.667 0.333 0.000
0.667 0.667 0.334
```

***

No. 2
Compound: PmPr7Nd3
Source: Alexandria via LeMat-Bulk
Functional: GGA-PBE
Structure: optimized geometry

Summary:
M_tot	0.000	μB per atom
uncorrected energy	-50.2	eV per formula unit
formation energy from the elements	4.8	kcal/mol of atoms

```
PmPr7Nd3
1.0
6.521 -5.773 0.000
6.521 5.773 0.000
-2.807 0.000 5.371
Pm Pr Nd
1 7 3
direct
0.000 0.000 0.000
0.000 0.000 0.500
0.097 0.504 0.800
0.291 0.291 0.292
0.496 0.903 0.200
0.504 0.097 0.800
0.709 0.709 0.708
0.903 0.496 0.200
0.293 0.707 0.500
0.500 0.500 0.000
0.707 0.293 0.500
```

***

No. 3
Compound: Pm3PrNd3
Source: Alexandria via LeMat-Bulk
Functional: GGA-PBE
Structure: optimized geometry

Summary:
M_tot	0.000	μB per atom
uncorrected energy	-31.9	eV per formula unit
energy above the lowest structure with this stoichiometry	0.1743	eV per atom
formation energy from the elements	4.7	kcal/mol of atoms

```
Pm3PrNd3
1.0
4.441 2.564 7.440
-4.441 2.564 7.440
0.000 -5.128 7.440
Pm Pr Nd
6 2 6
direct
0.062 0.822 0.291
0.178 0.709 0.938
0.291 0.062 0.822
0.709 0.938 0.178
0.822 0.291 0.062
0.938 0.178 0.709
0.349 0.349 0.349
0.651 0.651 0.651
0.067 0.567 0.723
0.277 0.933 0.433
0.433 0.277 0.933
0.567 0.723 0.067
0.723 0.067 0.567
0.933 0.433 0.277
```

***

No. 4
Compound: PmPr2Nd3
Source: Alexandria via LeMat-Bulk
Functional: GGA-PBE
Structure: optimized geometry

Summary:
M_tot	0.000	μB per atom
uncorrected energy	-28.6	eV per formula unit
energy above the lowest structure with this stoichiometry	0.0000	eV per atom
formation energy from the elements	0.2	kcal/mol of atoms

```
PmPr2Nd3
1.0
7.375 0.000 0.000
-3.687 6.387 0.000
0.000 0.000 9.024
Pm Pr Nd
2 4 6
direct
0.333 0.667 0.335
0.667 0.333 0.665
0.000 0.000 0.000
0.000 0.500 0.000
0.500 0.000 0.000
0.500 0.500 0.000
0.167 0.333 0.665
0.167 0.833 0.665
0.333 0.167 0.335
0.667 0.833 0.665
0.833 0.167 0.335
0.833 0.667 0.335
```

***

No. 5
Compound: Pm2Pr4Nd
Source: Alexandria via LeMat-Bulk
Functional: GGA-PBE
Structure: optimized geometry

Summary:
M_tot	0.000	μB per atom
uncorrected energy	-32.6	eV per formula unit
energy above the lowest structure with this stoichiometry	0.0291	eV per atom
formation energy from the elements	2.7	kcal/mol of atoms

```
Pm2Pr4Nd
1.0
2.928 1.690 8.389
-2.928 1.690 8.389
0.000 -3.381 8.389
Pm Pr Nd
2 4 1
direct
0.136 0.136 0.136
0.864 0.864 0.864
0.271 0.271 0.271
0.417 0.417 0.417
0.583 0.583 0.583
0.729 0.729 0.729
0.000 0.000 0.000
```

***

No. 6
Compound: PmPr4Nd2
Source: Alexandria via LeMat-Bulk
Functional: GGA-PBE
Structure: optimized geometry

Summary:
M_tot	0.000	μB per atom
uncorrected energy	-31.5	eV per formula unit
energy above the lowest structure with this stoichiometry	0.2688	eV per atom
formation energy from the elements	6.4	kcal/mol of atoms

```
PmPr4Nd2
1.0
5.674 -5.674 0.000
5.674 5.674 0.000
-0.045 0.000 8.209
Pm Pr Nd
2 8 4
direct
0.000 0.000 0.000
0.000 0.000 0.500
0.248 0.749 0.717
0.249 0.249 0.718
0.250 0.250 0.283
0.251 0.752 0.283
0.749 0.248 0.717
0.750 0.750 0.717
0.751 0.751 0.282
0.752 0.251 0.283
0.000 0.500 0.000
0.500 0.000 0.000
0.500 0.500 0.000
0.500 0.500 0.500
```

***

No. 7
Compound: Pm2Pr5Nd2
Source: Alexandria via LeMat-Bulk
Functional: GGA-PBE
Structure: optimized geometry

Summary:
M_tot	0.000	μB per atom
uncorrected energy	-41.3	eV per formula unit
energy above the lowest structure with this stoichiometry	0.0572	eV per atom
formation energy from the elements	4.3	kcal/mol of atoms

```
Pm2Pr5Nd2
1.0
-7.616 6.070 3.491
7.616 -6.070 3.491
7.616 6.070 -3.491
Pm Pr Nd
4 10 4
direct
0.004 0.126 0.130
0.004 0.374 0.378
0.996 0.626 0.622
0.996 0.874 0.870
0.098 0.401 0.803
0.098 0.795 0.197
0.386 0.899 0.987
0.443 0.319 0.410
0.443 0.532 0.624
0.598 0.295 0.197
0.598 0.901 0.803
0.908 0.032 0.590
0.908 0.819 0.376
0.912 0.399 0.013
0.460 0.215 0.745
0.470 0.715 0.255
0.528 0.028 0.500
0.528 0.528 0.000
```

***

No. 8
Compound: Pm5Pr3Nd3
Source: Alexandria via LeMat-Bulk
Functional: GGA-PBE
Structure: optimized geometry

Summary:
M_tot	0.000	μB per atom
uncorrected energy	-52.3	eV per formula unit
energy above the lowest structure with this stoichiometry	0.0000	eV per atom
formation energy from the elements	0.3	kcal/mol of atoms

```
Pm5Pr3Nd3
1.0
6.367 0.000 0.000
-2.115 7.944 0.000
-1.068 -2.841 7.649
Pm Pr Nd
5 3 3
direct
0.000 0.000 0.000
0.090 0.363 0.819
0.181 0.727 0.637
0.545 0.182 0.909
0.909 0.636 0.182
0.363 0.454 0.272
0.454 0.818 0.090
0.727 0.909 0.548
0.272 0.090 0.455
0.636 0.545 0.729
0.818 0.273 0.365
```

***

No. 9
Compound: Pm4Pr7Nd
Source: Alexandria via LeMat-Bulk
Functional: GGA-PBE
Structure: optimized geometry

Summary:
M_tot	0.000	μB per atom
uncorrected energy	-57.1	eV per formula unit
energy above the lowest structure with this stoichiometry	0.0000	eV per atom
formation energy from the elements	0.3	kcal/mol of atoms

```
Pm4Pr7Nd
1.0
6.446 0.000 0.000
-0.001 7.422 0.000
-2.148 -0.004 8.956
Pm Pr Nd
4 7 1
direct
0.220 0.000 0.167
0.279 0.249 0.832
0.721 0.751 0.168
0.780 0.000 0.833
0.000 0.000 0.500
0.221 0.500 0.167
0.280 0.751 0.833
0.500 0.249 0.501
0.500 0.751 0.499
0.720 0.249 0.167
0.779 0.500 0.833
0.000 0.500 0.500
```

***

No. 10
Compound: Pm8Pr2Nd
Source: Alexandria via LeMat-Bulk
Functional: GGA-PBE
Structure: optimized geometry

Summary:
M_tot	0.000	μB per atom
uncorrected energy	-52.2	eV per formula unit
energy above the lowest structure with this stoichiometry	0.0000	eV per atom
formation energy from the elements	0.3	kcal/mol of atoms

```
Pm8Pr2Nd
1.0
9.332 -2.591 0.000
9.332 2.591 0.000
-2.161 0.000 7.912
Pm Pr Nd
8 2 1
direct
0.045 0.045 0.227
0.136 0.136 0.680
0.318 0.318 0.591
0.410 0.410 0.046
0.590 0.590 0.954
0.682 0.682 0.409
0.864 0.864 0.320
0.955 0.955 0.773
0.227 0.227 0.137
0.773 0.773 0.863
0.500 0.500 0.500
```

***

No. 11
Compound: Pm2Pr5Nd6
Source: Alexandria via LeMat-Bulk
Functional: GGA-PBE
Structure: optimized geometry

Summary:
M_tot	0.000	μB per atom
uncorrected energy	-60.9	eV per formula unit
formation energy from the elements	2.0	kcal/mol of atoms

```
Pm2Pr5Nd6
1.0
11.986 0.000 0.000
0.000 21.124 0.000
0.000 0.000 3.693
Pm Pr Nd
4 10 12
direct
0.175 0.215 0.000
0.325 0.715 0.000
0.675 0.285 0.000
0.825 0.785 0.000
0.000 0.500 0.500
0.082 0.777 0.500
0.199 0.056 0.500
0.301 0.556 0.500
0.418 0.277 0.500
0.500 0.000 0.500
0.582 0.723 0.500
0.699 0.444 0.500
0.801 0.944 0.500
0.918 0.223 0.500
0.062 0.923 0.000
0.077 0.634 0.000
0.180 0.367 0.500
0.320 0.867 0.500
0.423 0.134 0.000
0.438 0.423 0.000
0.562 0.577 0.000
0.577 0.866 0.000
0.680 0.133 0.500
0.820 0.633 0.500
0.923 0.366 0.000
0.938 0.077 0.000
```

***

No. 12
Compound: Pm2Pr3Nd3
Source: Alexandria via LeMat-Bulk
Functional: GGA-PBE
Structure: optimized geometry

Summary:
M_tot	0.000	μB per atom
uncorrected energy	-38.1	eV per formula unit
formation energy from the elements	0.3	kcal/mol of atoms

```
Pm2Pr3Nd3
1.0
21.460 0.000 0.000
0.000 5.213 0.000
-1.262 0.000 5.058
Pm Pr Nd
4 6 6
direct
0.250 0.000 0.250
0.250 0.500 0.750
0.750 0.000 0.750
0.750 0.500 0.250
0.000 0.000 0.000
0.126 0.000 0.626
0.374 0.500 0.374
0.500 0.500 0.000
0.626 0.500 0.626
0.874 0.000 0.374
0.000 0.500 0.500
0.126 0.500 0.126
0.374 0.000 0.874
0.500 0.000 0.500
0.626 0.000 0.126
0.874 0.500 0.874
```

***

No. 13
Compound: Pm3PrNd6
Source: Alexandria via LeMat-Bulk
Functional: GGA-PBE
Structure: optimized geometry

Summary:
M_tot	0.000	μB per atom
uncorrected energy	-46.3	eV per formula unit
energy above the lowest structure with this stoichiometry	0.0000	eV per atom
formation energy from the elements	3.0	kcal/mol of atoms

```
Pm3PrNd6
1.0
5.554 -9.744 0.000
5.554 9.744 0.000
0.000 0.000 6.493
Pm Pr Nd
6 2 12
direct
0.117 0.883 0.500
0.207 0.442 0.872
0.442 0.207 0.372
0.558 0.793 0.872
0.793 0.558 0.372
0.883 0.117 0.000
0.311 0.689 0.514
0.689 0.311 0.014
0.027 0.443 0.285
0.129 0.210 0.464
0.210 0.129 0.964
0.219 0.781 0.057
0.443 0.027 0.785
0.466 0.534 0.268
0.534 0.466 0.768
0.557 0.973 0.285
0.781 0.219 0.557
0.790 0.871 0.464
0.871 0.790 0.964
0.973 0.557 0.785
```

***

No. 14
Compound: PmPr7Nd3
Source: Alexandria via LeMat-Bulk
Functional: GGA-PBE
Structure: optimized geometry

Summary:
M_tot	0.000	μB per atom
uncorrected energy	-50.2	eV per formula unit
formation energy from the elements	4.8	kcal/mol of atoms

```
PmPr7Nd3
1.0
5.998 -5.193 0.000
5.998 5.193 0.000
-0.632 0.000 6.531
Pm Pr Nd
1 7 3
direct
0.000 0.000 0.000
0.000 0.000 0.500
0.073 0.422 0.762
0.263 0.263 0.286
0.422 0.073 0.762
0.578 0.927 0.238
0.737 0.737 0.714
0.927 0.578 0.238
0.328 0.672 0.500
0.500 0.500 0.000
0.672 0.328 0.500
```

***

No. 15
Compound: Pm3Pr3Nd8
Source: Alexandria via LeMat-Bulk
Functional: GGA-PBE
Structure: optimized geometry

Summary:
M_tot	0.000	μB per atom
uncorrected energy	-65.3	eV per formula unit
energy above the lowest structure with this stoichiometry	0.0063	eV per atom
formation energy from the elements	2.3	kcal/mol of atoms

```
Pm3Pr3Nd8
1.0
-2.903 5.513 7.795
2.903 -5.513 7.795
2.903 5.513 -7.795
Pm Pr Nd
3 3 8
direct
0.000 0.000 0.000
0.183 0.683 0.500
0.817 0.317 0.500
0.195 0.500 0.695
0.500 0.500 0.000
0.805 0.500 0.305
0.118 0.277 0.841
0.234 0.896 0.338
0.436 0.277 0.159
0.441 0.104 0.338
0.559 0.896 0.662
0.564 0.723 0.841
0.766 0.104 0.662
0.882 0.723 0.159
```

***

No. 16
Compound: PmPr12Nd6
Source: Alexandria via LeMat-Bulk
Functional: GGA-PBE
Structure: optimized geometry

Summary:
M_tot	0.000	μB per atom
uncorrected energy	-87.2	eV per formula unit
energy above the lowest structure with this stoichiometry	0.1715	eV per atom
formation energy from the elements	4.2	kcal/mol of atoms

```
PmPr12Nd6
1.0
-5.555 5.555 5.555
5.555 -5.555 5.555
5.555 5.555 -5.555
Pm Pr Nd
1 12 6
direct
0.000 0.000 0.000
0.064 0.262 0.802
0.198 0.460 0.262
0.198 0.936 0.738
0.262 0.198 0.460
0.262 0.802 0.064
0.460 0.262 0.198
0.540 0.738 0.802
0.738 0.198 0.936
0.738 0.802 0.540
0.802 0.064 0.262
0.802 0.540 0.738
0.936 0.738 0.198
0.143 0.500 0.643
0.357 0.857 0.500
0.500 0.357 0.857
0.500 0.643 0.143
0.643 0.143 0.500
0.857 0.500 0.357
```

***

No. 17
Compound: PmPr6Nd8
Source: Alexandria via LeMat-Bulk
Functional: GGA-PBE
Structure: optimized geometry

Summary:
M_tot	0.000	μB per atom
uncorrected energy	-69.2	eV per formula unit
energy above the lowest structure with this stoichiometry	0.0221	eV per atom
formation energy from the elements	3.7	kcal/mol of atoms

```
PmPr6Nd8
1.0
9.645 0.000 0.000
-4.823 8.353 0.000
0.000 0.000 6.770
Pm Pr Nd
1 6 8
direct
0.000 0.000 0.000
0.084 0.431 0.841
0.347 0.916 0.841
0.431 0.347 0.159
0.569 0.653 0.841
0.653 0.084 0.159
0.916 0.569 0.159
0.028 0.283 0.339
0.255 0.972 0.339
0.283 0.255 0.661
0.333 0.667 0.393
0.667 0.333 0.607
0.717 0.745 0.339
0.745 0.028 0.661
0.972 0.717 0.661
```

***

No. 18
Compound: Pm5Pr3Nd3
Source: Alexandria via LeMat-Bulk
Functional: GGA-PBE
Structure: optimized geometry

Summary:
M_tot	0.000	μB per atom
uncorrected energy	-44.7	eV per formula unit
energy above the lowest structure with this stoichiometry	0.6866	eV per atom
formation energy from the elements	16.1	kcal/mol of atoms

```
Pm5Pr3Nd3
1.0
9.831 0.000 0.000
-4.916 8.514 0.000
0.000 0.000 5.619
Pm Pr Nd
5 3 3
direct
0.000 0.732 0.000
0.268 0.268 0.000
0.333 0.667 0.000
0.667 0.333 0.000
0.732 0.000 0.000
0.000 0.582 0.500
0.418 0.418 0.500
0.582 0.000 0.500
0.000 0.365 0.000
0.365 0.000 0.000
0.635 0.635 0.000
```

***

No. 19
Compound: PmPr2Nd7
Source: Alexandria via LeMat-Bulk
Functional: GGA-PBE
Structure: optimized geometry

Summary:
M_tot	0.000	μB per atom
uncorrected energy	-41.6	eV per formula unit
energy above the lowest structure with this stoichiometry	0.4496	eV per atom
formation energy from the elements	14.1	kcal/mol of atoms

```
PmPr2Nd7
1.0
4.425 -8.517 0.000
4.425 8.517 0.000
0.000 0.000 5.530
Pm Pr Nd
1 2 7
direct
0.000 0.000 0.000
0.297 0.703 0.500
0.703 0.297 0.500
0.070 0.292 0.500
0.217 0.783 0.000
0.292 0.070 0.500
0.500 0.500 0.500
0.708 0.930 0.500
0.783 0.217 0.000
0.930 0.708 0.500
```